A relaxed structure of Li3IrPd3O8, computed with GGA-PBE.

Formation energy (no corrections) in kJ per mole of atoms: -88.7
Total moment in Bohr magnetons per cell: 2.079
Electronic total energy in eV/atom: -5.576
Space group: C2/m

Cell lengths 6.036, 6.983, 5.655 Å; angles 122.03, 90.00, 115.61 degrees
Last column: magnetic moment on the atom in μB.
Sites, in units of the cell vectors:
O1 0.290 0.097 0.782  0.16
O2 0.699 0.397 0.660  0.00
O3 0.807 0.097 0.782  0.16
O4 0.188 0.376 0.639  0.05
O5 0.812 0.624 0.361  0.05
O6 0.193 0.903 0.218  0.16
O7 0.710 0.903 0.218  0.16
O8 0.301 0.603 0.340  0.00
Pd1 0.500 0.500 0.500  0.05
Pd2 0.000 0.500 0.500  0.05
Pd3 0.500 0.000 0.500  0.04
Li1 0.500 0.500 0.000  0.01
Li2 0.000 0.000 0.000  0.00
Li3 0.000 0.500 0.000  0.01
Ir1 0.000 0.000 0.500  1.02